# Ba2Sb2O7 | Alexandria | GGA-PBE | relaxed
# uncorrected formation energy	-2.02	eV/atom
# calculated total energy	-6.2725	eV/atom
# space group	Imma, No. 74
# energy relative to the lowest polymorph listed for this composition	0	meV/atom
# total magnetization	0.000	μB/cell
data_Ba2Sb2O7
_chemical_formula_sum 'Ba4 Sb4 O14'
_cell_length_a 7.779
_cell_length_b 7.779
_cell_length_c 7.779
_cell_angle_alpha 119.86
_cell_angle_beta 92.43
_cell_angle_gamma 117.37
_space_group_name_H-M_alt 'P 1'
_space_group_IT_number 1
loop_
_space_group_symop_operation_xyz
'x,y,z'
loop_
_atom_site_label
_atom_site_type_symbol
_atom_site_fract_x
_atom_site_fract_y
_atom_site_fract_z
_atom_site_occupancy
Ba1 Ba 0.000 0.000 0.000 1
Ba2 Ba 0.500 0.000 0.000 1
Ba3 Ba 0.500 0.000 0.500 1
Ba4 Ba 0.500 0.500 0.500 1
Sb1 Sb 0.000 0.000 0.500 1
Sb2 Sb 0.000 0.500 0.000 1
Sb3 Sb 0.000 0.500 0.500 1
Sb4 Sb 0.500 0.500 0.000 1
O1 O 0.045 0.227 0.422 1
O2 O 0.045 0.623 0.818 1
O3 O 0.097 0.847 0.250 1
O4 O 0.296 0.708 0.588 1
O5 O 0.306 0.227 0.682 1
O6 O 0.306 0.623 0.078 1
O7 O 0.380 0.292 0.088 1
O8 O 0.620 0.708 0.912 1
O9 O 0.694 0.377 0.922 1
O10 O 0.694 0.773 0.318 1
O11 O 0.704 0.292 0.412 1
O12 O 0.903 0.153 0.750 1
O13 O 0.955 0.377 0.182 1
O14 O 0.955 0.773 0.578 1

---

# B5C7 | Alexandria | GGA-PBE | relaxed
# calculated total energy	-7.8323	eV/atom
# space group	P2, No. 3
# energy relative to the lowest polymorph listed for this composition	73	meV/atom
# total magnetization	0.000	μB/cell
# energy of formation	331	meV per atom
data_B5C7
_chemical_formula_sum 'B5 C7'
_cell_length_a 3.571
_cell_length_b 4.069
_cell_length_c 5.602
_cell_angle_alpha 90.00
_cell_angle_beta 105.85
_cell_angle_gamma 90.00
_space_group_name_H-M_alt 'P 1'
_space_group_IT_number 1
loop_
_space_group_symop_operation_xyz
'x,y,z'
loop_
_atom_site_label
_atom_site_type_symbol
_atom_site_fract_x
_atom_site_fract_y
_atom_site_fract_z
_atom_site_occupancy
B1 B 0.000 0.000 0.000 1
B2 B 0.150 0.328 0.854 1
B3 B 0.325 0.026 0.659 1
B4 B 0.675 0.026 0.341 1
B5 B 0.850 0.328 0.146 1
C1 C 0.000 0.759 0.500 1
C2 C 0.182 0.547 0.341 1
C3 C 0.340 0.763 0.170 1
C4 C 0.500 0.311 0.500 1
C5 C 0.500 0.561 0.000 1
C6 C 0.660 0.763 0.830 1
C7 C 0.818 0.547 0.659 1

---

# Na6MnSe4 | Alexandria | GGA-PBE | relaxed
# uncorrected formation energy	-0.98	eV/atom
# calculated total energy	-3.8013	eV/atom
# space group	P6_3mc, No. 186
# total magnetization	10.000	μB/cell
data_Na6MnSe4
_chemical_formula_sum 'Na12 Mn2 Se8'
_cell_length_a 9.413
_cell_length_b 9.413
_cell_length_c 7.269
_cell_angle_alpha 90.00
_cell_angle_beta 90.00
_cell_angle_gamma 120.00
_space_group_name_H-M_alt 'P 1'
_space_group_IT_number 1
loop_
_space_group_symop_operation_xyz
'x,y,z'
loop_
_atom_site_label
_atom_site_type_symbol
_atom_site_fract_x
_atom_site_fract_y
_atom_site_fract_z
_atom_site_occupancy
Na1 Na 0.062 0.531 0.000 1
Na2 Na 0.148 0.296 0.669 1
Na3 Na 0.148 0.852 0.669 1
Na4 Na 0.296 0.148 0.169 1
Na5 Na 0.469 0.531 0.000 1
Na6 Na 0.469 0.938 0.000 1
Na7 Na 0.531 0.062 0.500 1
Na8 Na 0.531 0.469 0.500 1
Na9 Na 0.704 0.852 0.669 1
Na10 Na 0.852 0.148 0.169 1
Na11 Na 0.852 0.704 0.169 1
Na12 Na 0.938 0.469 0.500 1
Mn1 Mn 0.333 0.667 0.381 1
Mn2 Mn 0.667 0.333 0.881 1
Se1 Se 0.186 0.372 0.273 1
Se2 Se 0.186 0.814 0.273 1
Se3 Se 0.333 0.667 0.730 1
Se4 Se 0.372 0.186 0.773 1
Se5 Se 0.628 0.814 0.273 1
Se6 Se 0.667 0.333 0.230 1
Se7 Se 0.814 0.186 0.773 1
Se8 Se 0.814 0.628 0.773 1

---

no.,volume (Å³/atom),theoretical density (g/cm³)
1,15.42,6.2
2,6.52,2.9
3,25.35,3.0